w.
## BaVN2F (GGA+U)

Data for BaVN2F after structural relaxation.

Space group: P4/mmm
Density of states at the Fermi level: 0.314 states/eV/atom

Lattice parameters (Å, degrees): 3.933 3.933 4.396 90.00 90.00 90.00
Fractional positions:
Ba (0.000, 0.000, 0.000)
V (0.500, 0.500, 0.500)
N (0.000, 0.500, 0.500)
N (0.500, 0.000, 0.500)
F (0.500, 0.500, 0.000)

---

x.
## BaVN2F (GGA+U)

Data for BaVN2F after structural relaxation.

Space group: P4/mmm
Density of states at the Fermi level: 1.073 states/eV/atom

Lattice parameters (Å, degrees): 4.704 4.704 4.797 90.00 90.00 90.00
Fractional positions:
Ba (0.000, 0.000, 0.000)
V (0.500, 0.500, 0.500)
N (0.000, 0.500, 0.000)
N (0.500, 0.000, 0.000)
F (0.000, 0.000, 0.500)

---

Which of them is least stable? Easy: x.